Entry from OQMD: a relaxed structure of Co3P2O8 (PBE with a Hubbard U).

abc: 5.8861 4.7367 10.2457
angles: 90.00 91.57 90.00
Space group P2_1/c (No. 14)
Inequivalent atoms, fractional coordinates:
Co  0.0000  0.0000  0.0000 x2
Co  0.2621  0.0141  0.7263 x4
P  0.2459  0.5729  0.9046 x4
O  0.0302  0.7249  0.8389 x4
O  0.2297  0.2490  0.8994 x4
O  0.2513  0.6908  0.0453 x4
O  0.4414  0.6881  0.8219 x4

The calculation puts the energy above the most stable polymorph in this dataset at 14.3 meV per atom. The calculated volume comes out at 10.983 A^3/atom. The calculation puts the total energy at -177.2 eV for the cell shown.